# ZrTe2Pb

ZrTe2Pb after structural relaxation (PBE-GGA, the Alexandria database).

Geometry as POSCAR:
```
ZrTe2Pb
1.0
3.4045 0.0000 0.0000
-1.7023 2.9484 0.0000
0.0000 0.0000 34.9185
Zr Te Pb
3 6 3
Direct
0.0000 0.0000 0.0000
0.3333 0.6667 0.6667
0.6667 0.3333 0.3333
0.0000 0.0000 0.0819
0.0000 0.0000 0.9181
0.3333 0.6667 0.5847
0.3333 0.6667 0.7486
0.6667 0.3333 0.2514
0.6667 0.3333 0.4153
0.0000 0.0000 0.5000
0.3333 0.6667 0.1667
0.6667 0.3333 0.8333
```

Summary:
The calculation puts the volume at 350.5 Å³ per cell. Its calculated total energy is -4.4708 eV/atom. The total moment is 0.0 μB per formula unit. The formation energy without anion corrections comes out at 0.16 eV/atom.